Arrangement P

Computed, not measured: a relaxed BeCdAu crystal at the PBE-GGA level of DFT.

a = 4.0848 Å, b = 4.0848 Å, c = 3.5306 Å
α = 90.00°, β = 90.00°, γ = 120.00°
Fractional positions:
Be: 0.0000 0.0000 0.0000
Cd: 0.3333 0.6667 0.5000
Au: 0.6667 0.3333 0.0000

Output
- Fermi-level density of states (states/eV/cell) = 0.937
- size of the total moment (μB/f.u.) = 0.0

---

Arrangement Q

Computed, not measured: a relaxed BeCdAu crystal at the PBE-GGA level of DFT.

a = 2.9980 Å, b = 2.9980 Å, c = 6.3655 Å
α = 90.00°, β = 90.00°, γ = 120.00°
Fractional positions:
Be: 0.0000 0.0000 0.0000
Cd: 0.6667 0.3333 0.3368
Au: 0.3333 0.6667 0.7402

Output
- Fermi-level density of states (states/eV/cell) = 0.966
- size of the total moment (μB/f.u.) = 0.0

---

Arrangement R

Computed, not measured: a relaxed BeCdAu crystal at the PBE-GGA level of DFT.

a = 3.7783 Å, b = 3.7783 Å, c = 7.1021 Å
α = 90.00°, β = 90.00°, γ = 90.00°
Fractional positions:
Be: 0.2500 0.7500 0.0000
Be: 0.7500 0.2500 0.0000
Cd: 0.2500 0.2500 0.3691
Cd: 0.7500 0.7500 0.6309
Au: 0.2500 0.2500 0.7976
Au: 0.7500 0.7500 0.2024

Output
- Fermi-level density of states (states/eV/cell) = 1.937
- size of the total moment (μB/f.u.) = 0.0

---

Arrangement S

Computed, not measured: a relaxed BeCdAu crystal at the PBE-GGA level of DFT.

a = 5.8997 Å, b = 5.8997 Å, c = 5.8997 Å
α = 90.00°, β = 90.00°, γ = 90.00°
Fractional positions:
Be: 0.0000 0.0000 0.0000
Be: 0.0000 0.5000 0.5000
Be: 0.5000 0.0000 0.5000
Be: 0.5000 0.5000 0.0000
Cd: 0.2500 0.2500 0.7500
Cd: 0.2500 0.7500 0.2500
Cd: 0.7500 0.2500 0.2500
Cd: 0.7500 0.7500 0.7500
Au: 0.2500 0.2500 0.2500
Au: 0.2500 0.7500 0.7500
Au: 0.7500 0.2500 0.7500
Au: 0.7500 0.7500 0.2500

Output
- Fermi-level density of states (states/eV/cell) = 7.864
- size of the total moment (μB/f.u.) = 0.0

---

It comes down to arrangement R, which is 11.9 kJ/mol of atoms more stable than the next structure.

---

Arrangement P

Computed, not measured: a relaxed Be3CdAu crystal at the PBE-GGA level of DFT.

a = 4.3928 Å, b = 4.3928 Å, c = 4.3928 Å
α = 90.00°, β = 90.00°, γ = 90.00°
Fractional positions:
Be: 0.0000 0.0000 0.5000
Be: 0.0000 0.5000 0.0000
Be: 0.5000 0.0000 0.0000
Cd: 0.5000 0.5000 0.5000
Au: 0.0000 0.0000 0.0000

Output
- Fermi-level density of states (states/eV/cell) = 1.244
- size of the total moment (μB/f.u.) = 0.0

---

Arrangement Q

Computed, not measured: a relaxed Be3CdAu crystal at the PBE-GGA level of DFT.

a = 4.4011 Å, b = 4.4011 Å, c = 4.4011 Å
α = 90.00°, β = 90.00°, γ = 90.00°
Fractional positions:
Be: 0.0000 0.0000 0.5000
Be: 0.0000 0.5000 0.0000
Be: 0.5000 0.0000 0.0000
Cd: 0.0000 0.0000 0.0000
Au: 0.5000 0.5000 0.5000

Output
- Fermi-level density of states (states/eV/cell) = 1.515
- size of the total moment (μB/f.u.) = 0.0

---

It comes down to arrangement P, which is 57.0 kJ/mol of atoms more stable than the next structure.

---

Arrangement P

Computed, not measured: a relaxed CeBeAu3 crystal at the PBE-GGA level of DFT.

a = 4.6414 Å, b = 4.6414 Å, c = 4.6414 Å
α = 90.00°, β = 90.00°, γ = 90.00°
Fractional positions:
Ce: 0.0000 0.0000 0.0000
Be: 0.5000 0.5000 0.5000
Au: 0.0000 0.5000 0.5000
Au: 0.5000 0.0000 0.5000
Au: 0.5000 0.5000 0.0000

Output
- Fermi-level density of states (states/eV/cell) = 9.412
- size of the total moment (μB/f.u.) = 1.1

---

Arrangement Q

Computed, not measured: a relaxed CeBeAu3 crystal at the PBE-GGA level of DFT.

a = 4.2872 Å, b = 4.2872 Å, c = 10.6130 Å
α = 90.00°, β = 90.00°, γ = 90.00°
Fractional positions:
Ce: 0.0000 0.0000 0.0000
Ce: 0.5000 0.5000 0.5000
Be: 0.0000 0.0000 0.6293
Be: 0.5000 0.5000 0.1293
Au: 0.0000 0.0000 0.4144
Au: 0.0000 0.5000 0.2284
Au: 0.0000 0.5000 0.7284
Au: 0.5000 0.0000 0.2284
Au: 0.5000 0.0000 0.7284
Au: 0.5000 0.5000 0.9144

Output
- Fermi-level density of states (states/eV/cell) = 14.059
- size of the total moment (μB/f.u.) = 0.9

---

It comes down to arrangement Q, which is 8.9 kJ/mol of atoms more stable than the next structure.

---

Arrangement P

Computed, not measured: a relaxed BeAuCl crystal at the PBE-GGA level of DFT.

a = 2.9683 Å, b = 6.5254 Å, c = 13.2817 Å
α = 90.00°, β = 90.00°, γ = 90.00°
Fractional positions:
Be: 0.0000 0.0000 0.0000
Be: 0.0000 0.5000 0.5000
Be: 0.5000 0.0000 0.5000
Be: 0.5000 0.5000 0.0000
Au: 0.0000 0.0000 0.6320
Au: 0.0000 0.5000 0.1320
Au: 0.5000 0.0000 0.1320
Au: 0.5000 0.5000 0.6320
Cl: 0.0000 0.0000 0.3946
Cl: 0.0000 0.5000 0.8946
Cl: 0.5000 0.0000 0.8946
Cl: 0.5000 0.5000 0.3946

Output
- Fermi-level density of states (states/eV/cell) = 2.026
- size of the total moment (μB/f.u.) = 0.0

---

Arrangement Q

Computed, not measured: a relaxed BeAuCl crystal at the PBE-GGA level of DFT.

a = 6.1613 Å, b = 6.1613 Å, c = 6.1613 Å
α = 90.00°, β = 90.00°, γ = 90.00°
Fractional positions:
Be: 0.0000 0.0000 0.0000
Be: 0.0000 0.5000 0.5000
Be: 0.5000 0.0000 0.5000
Be: 0.5000 0.5000 0.0000
Au: 0.2500 0.2500 0.7500
Au: 0.2500 0.7500 0.2500
Au: 0.7500 0.2500 0.2500
Au: 0.7500 0.7500 0.7500
Cl: 0.0000 0.0000 0.5000
Cl: 0.0000 0.5000 0.0000
Cl: 0.5000 0.0000 0.0000
Cl: 0.5000 0.5000 0.5000

Output
- Fermi-level density of states (states/eV/cell) = 3.054
- size of the total moment (μB/f.u.) = 0.0

---

Arrangement R

Computed, not measured: a relaxed BeAuCl crystal at the PBE-GGA level of DFT.

a = 2.9197 Å, b = 2.9197 Å, c = 13.0715 Å
α = 90.00°, β = 90.00°, γ = 90.00°
Fractional positions:
Be: 0.0000 0.0000 0.0000
Be: 0.5000 0.5000 0.5000
Au: 0.0000 0.0000 0.3843
Au: 0.5000 0.5000 0.8843
Cl: 0.0000 0.0000 0.6065
Cl: 0.5000 0.5000 0.1065

Output
- Fermi-level density of states (states/eV/cell) = 1.274
- size of the total moment (μB/f.u.) = 0.0

---

It comes down to arrangement P, which is 23.3 kJ/mol of atoms more stable than the next structure.

---

Arrangement P

Computed, not measured: a relaxed BeAuCl crystal at the PBE-GGA level of DFT.

a = 6.0197 Å, b = 6.0197 Å, c = 6.0197 Å
α = 90.00°, β = 90.00°, γ = 90.00°
Fractional positions:
Be: 0.0000 0.0000 0.0000
Be: 0.0000 0.5000 0.5000
Be: 0.5000 0.0000 0.5000
Be: 0.5000 0.5000 0.0000
Au: 0.2500 0.2500 0.7500
Au: 0.2500 0.7500 0.2500
Au: 0.7500 0.2500 0.2500
Au: 0.7500 0.7500 0.7500
Cl: 0.2500 0.2500 0.2500
Cl: 0.2500 0.7500 0.7500
Cl: 0.7500 0.2500 0.7500
Cl: 0.7500 0.7500 0.2500

Output
- Fermi-level density of states (states/eV/cell) = 2.559
- size of the total moment (μB/f.u.) = 0.0

---

Arrangement Q

Computed, not measured: a relaxed BeAuCl crystal at the PBE-GGA level of DFT.

a = 3.2632 Å, b = 6.3280 Å, c = 5.5979 Å
α = 90.00°, β = 90.00°, γ = 90.00°
Fractional positions:
Be: 0.0000 0.1754 0.0000
Be: 0.0000 0.8246 0.5000
Au: 0.5000 0.4067 0.8826
Au: 0.5000 0.5933 0.3826
Cl: 0.0000 0.1196 0.3578
Cl: 0.0000 0.8804 0.8578

Output
- Fermi-level density of states (states/eV/cell) = 0.485
- size of the total moment (μB/f.u.) = 0.0

---

It comes down to arrangement Q, which is 75.7 kJ/mol of atoms more stable than the next structure.

---

Arrangement P

Computed, not measured: a relaxed MgBe2AuCl crystal at the PBE-GGA level of DFT.

a = 4.9533 Å, b = 4.9533 Å, c = 4.9183 Å
α = 90.00°, β = 90.00°, γ = 90.00°
Fractional positions:
Mg: 0.0000 0.0000 0.0000
Be: 0.0000 0.5000 0.0000
Be: 0.5000 0.0000 0.0000
Au: 0.0000 0.0000 0.5000
Cl: 0.5000 0.5000 0.5000

Output
- Fermi-level density of states (states/eV/cell) = 1.930
- size of the total moment (μB/f.u.) = 0.0

---

Arrangement Q

Computed, not measured: a relaxed MgBe2AuCl crystal at the PBE-GGA level of DFT.

a = 5.0237 Å, b = 5.0237 Å, c = 4.6222 Å
α = 90.00°, β = 90.00°, γ = 90.00°
Fractional positions:
Mg: 0.0000 0.0000 0.0000
Be: 0.0000 0.5000 0.0000
Be: 0.5000 0.0000 0.0000
Au: 0.5000 0.5000 0.5000
Cl: 0.0000 0.0000 0.5000

Output
- Fermi-level density of states (states/eV/cell) = 2.544
- size of the total moment (μB/f.u.) = 0.0

---

It comes down to arrangement Q, which is 6.4 kJ/mol of atoms more stable than the next structure.

---

Arrangement P

Computed, not measured: a relaxed BePAuCl2 crystal at the PBE-GGA level of DFT.

a = 5.0685 Å, b = 5.0685 Å, c = 4.8822 Å
α = 90.00°, β = 90.00°, γ = 90.00°
Fractional positions:
Be: 0.0000 0.0000 0.0000
P: 0.5000 0.5000 0.0000
Au: 0.5000 0.5000 0.5000
Cl: 0.0000 0.5000 0.5000
Cl: 0.5000 0.0000 0.5000

Output
- Fermi-level density of states (states/eV/cell) = 2.212
- size of the total moment (μB/f.u.) = 1.2

---

Arrangement Q

Computed, not measured: a relaxed BePAuCl2 crystal at the PBE-GGA level of DFT.

a = 4.0297 Å, b = 4.0297 Å, c = 7.4217 Å
α = 90.00°, β = 90.00°, γ = 90.00°
Fractional positions:
Be: 0.0000 0.0000 0.0000
P: 0.0000 0.0000 0.5000
Au: 0.5000 0.5000 0.5000
Cl: 0.0000 0.5000 0.0000
Cl: 0.5000 0.0000 0.0000

Output
- Fermi-level density of states (states/eV/cell) = 2.035
- size of the total moment (μB/f.u.) = 1.1

---

It comes down to arrangement Q, which is 72.5 kJ/mol of atoms more stable than the next structure.

---

Arrangement P

Computed, not measured: a relaxed Be2CoAu2 crystal at the PBE-GGA level of DFT.

a = 3.2695 Å, b = 3.2695 Å, c = 12.6656 Å
α = 90.00°, β = 90.00°, γ = 90.00°
Fractional positions:
Be: 0.0000 0.5000 0.2500
Be: 0.0000 0.5000 0.7500
Be: 0.5000 0.0000 0.2500
Be: 0.5000 0.0000 0.7500
Co: 0.0000 0.0000 0.0000
Co: 0.5000 0.5000 0.5000
Au: 0.0000 0.0000 0.3843
Au: 0.0000 0.0000 0.6157
Au: 0.5000 0.5000 0.1157
Au: 0.5000 0.5000 0.8843

Output
- Fermi-level density of states (states/eV/cell) = 7.783
- size of the total moment (μB/f.u.) = 1.7

---

Arrangement Q

Computed, not measured: a relaxed Be2CoAu2 crystal at the PBE-GGA level of DFT.

a = 6.5514 Å, b = 6.5514 Å, c = 2.9493 Å
α = 90.00°, β = 90.00°, γ = 90.00°
Fractional positions:
Be: 0.1304 0.3696 0.0000
Be: 0.3696 0.8696 0.0000
Be: 0.6304 0.1304 0.0000
Be: 0.8696 0.6304 0.0000
Co: 0.0000 0.0000 0.0000
Co: 0.5000 0.5000 0.0000
Au: 0.1679 0.6679 0.5000
Au: 0.3321 0.1679 0.5000
Au: 0.6679 0.8321 0.5000
Au: 0.8321 0.3321 0.5000

Output
- Fermi-level density of states (states/eV/cell) = 7.071
- size of the total moment (μB/f.u.) = 1.6

---

It comes down to arrangement Q, which is 12.3 kJ/mol of atoms more stable than the next structure.

---

Arrangement P

Computed, not measured: a relaxed BeCoAu3 crystal at the PBE-GGA level of DFT.

a = 4.7467 Å, b = 4.7467 Å, c = 4.7467 Å
α = 90.00°, β = 90.00°, γ = 90.00°
Fractional positions:
Be: 0.0000 0.0000 0.0000
Co: 0.5000 0.5000 0.5000
Au: 0.0000 0.5000 0.5000
Au: 0.5000 0.0000 0.5000
Au: 0.5000 0.5000 0.0000

Output
- Fermi-level density of states (states/eV/cell) = 5.925
- size of the total moment (μB/f.u.) = 2.0

---

Arrangement Q

Computed, not measured: a relaxed BeCoAu3 crystal at the PBE-GGA level of DFT.

a = 4.3696 Å, b = 4.3696 Å, c = 4.3696 Å
α = 90.00°, β = 90.00°, γ = 90.00°
Fractional positions:
Be: 0.0000 0.0000 0.0000
Co: 0.5000 0.5000 0.5000
Au: 0.0000 0.0000 0.5000
Au: 0.0000 0.5000 0.0000
Au: 0.5000 0.0000 0.0000

Output
- Fermi-level density of states (states/eV/cell) = 3.414
- size of the total moment (μB/f.u.) = 1.9

---

It comes down to arrangement Q, which is 63.3 kJ/mol of atoms more stable than the next structure.

---

Arrangement P

Computed, not measured: a relaxed Be3CrAu crystal at the PBE-GGA level of DFT.

a = 4.0553 Å, b = 4.0553 Å, c = 4.0553 Å
α = 90.00°, β = 90.00°, γ = 90.00°
Fractional positions:
Be: 0.0000 0.0000 0.5000
Be: 0.0000 0.5000 0.0000
Be: 0.5000 0.0000 0.0000
Cr: 0.0000 0.0000 0.0000
Au: 0.5000 0.5000 0.5000

Output
- Fermi-level density of states (states/eV/cell) = 2.943
- size of the total moment (μB/f.u.) = 0.9

---

Arrangement Q

Computed, not measured: a relaxed Be3CrAu crystal at the PBE-GGA level of DFT.

a = 4.3041 Å, b = 4.3041 Å, c = 4.3041 Å
α = 90.00°, β = 90.00°, γ = 90.00°
Fractional positions:
Be: 0.0000 0.0000 0.5000
Be: 0.0000 0.5000 0.0000
Be: 0.5000 0.0000 0.0000
Cr: 0.5000 0.5000 0.5000
Au: 0.0000 0.0000 0.0000

Output
- Fermi-level density of states (states/eV/cell) = 2.164
- size of the total moment (μB/f.u.) = 4.4

---

It comes down to arrangement Q, which is 46.7 kJ/mol of atoms more stable than the next structure.

---

Arrangement P

Computed, not measured: a relaxed BeCrAu3 crystal at the PBE-GGA level of DFT.

a = 4.4396 Å, b = 4.4396 Å, c = 4.4396 Å
α = 90.00°, β = 90.00°, γ = 90.00°
Fractional positions:
Be: 0.0000 0.0000 0.0000
Cr: 0.5000 0.5000 0.5000
Au: 0.0000 0.0000 0.5000
Au: 0.0000 0.5000 0.0000
Au: 0.5000 0.0000 0.0000

Output
- Fermi-level density of states (states/eV/cell) = 2.116
- size of the total moment (μB/f.u.) = 4.2

---

Arrangement Q

Computed, not measured: a relaxed BeCrAu3 crystal at the PBE-GGA level of DFT.

a = 4.8139 Å, b = 4.8139 Å, c = 4.8139 Å
α = 90.00°, β = 90.00°, γ = 90.00°
Fractional positions:
Be: 0.0000 0.0000 0.0000
Cr: 0.5000 0.5000 0.5000
Au: 0.0000 0.5000 0.5000
Au: 0.5000 0.0000 0.5000
Au: 0.5000 0.5000 0.0000

Output
- Fermi-level density of states (states/eV/cell) = 6.649
- size of the total moment (μB/f.u.) = 0.0

---

It comes down to arrangement P, which is 113.0 kJ/mol of atoms more stable than the next structure.

---

Arrangement P

Computed, not measured: a relaxed CsBeAu3 crystal at the PBE-GGA level of DFT.

a = 4.9042 Å, b = 4.9042 Å, c = 4.9042 Å
α = 90.00°, β = 90.00°, γ = 90.00°
Fractional positions:
Cs: 0.0000 0.0000 0.0000
Be: 0.5000 0.5000 0.5000
Au: 0.0000 0.5000 0.5000
Au: 0.5000 0.0000 0.5000
Au: 0.5000 0.5000 0.0000

Output
- Fermi-level density of states (states/eV/cell) = 0.871
- size of the total moment (μB/f.u.) = 0.0

---

Arrangement Q

Computed, not measured: a relaxed CsBeAu3 crystal at the PBE-GGA level of DFT.

a = 6.5663 Å, b = 6.5666 Å, c = 6.7385 Å
α = 91.71°, β = 91.45°, γ = 115.92°
Fractional positions:
Cs: 0.0000 0.0000 0.0000
Cs: 0.3408 0.6588 0.0009
Be: 0.5609 0.4391 0.4996
Be: 0.7753 0.2248 0.4983
Au: 0.1556 0.2807 0.4997
Au: 0.3833 0.0112 0.4983
Au: 0.6351 0.3079 0.1928
Au: 0.6920 0.3649 0.8061
Au: 0.7194 0.8445 0.5010
Au: 0.9891 0.6171 0.5021

Output
- Fermi-level density of states (states/eV/cell) = 3.364
- size of the total moment (μB/f.u.) = 0.0

---

It comes down to arrangement Q, which is 17.3 kJ/mol of atoms more stable than the next structure.